MnBeTl2 | PBE | optimized geometry

Lattice parameters (Å, degrees): 5.049 5.049 5.049 126.96 126.96 78.31
Positions (direct):
1 Mn 0.000 0.000 0.000
2 Be 0.500 0.500 0.000
3 Tl 0.250 0.750 0.500
4 Tl 0.750 0.250 0.500

Values from the calculation:
Polymorph energy (0 for the lowest one): 290.0 meV per atom